The following is a DFT calculation (PBE with a Hubbard U) of crystalline MgVAg2F at its relaxed geometry.

Cell: 5.372 5.372 3.777 Å, 90.00 90.00 90.00°
Space group P4/mmm (No. 123)
One atom of each set of equivalent atoms:
Mg  0.000  0.000  0.000 (multiplicity 1)
V  0.500  0.500  0.500 (multiplicity 1)
Ag  0.000  0.500  0.500 (multiplicity 2)
F  0.500  0.500  0.000 (multiplicity 1)

Calculated values
The calculation puts the total magnetic moment at 3.2 μB per cell. The calculation puts the total energy at -3.417 eV per atom.